1.
# RbVSn2F8 (GGA+U, relaxed)
data_RbVSn2F8
_symmetry_space_group_name_H-M 'P 1'
_symmetry_Int_Tables_number 1
_symmetry_space_group_name_Hall 'P 1'
_cell_length_a 5.337
_cell_length_b 5.503
_cell_length_c 7.689
_cell_angle_alpha 96.58
_cell_angle_beta 90.50
_cell_angle_gamma 93.47
loop_
_atom_site_label
_atom_site_type_symbol
_atom_site_fract_x
_atom_site_fract_y
_atom_site_fract_z
Rb1 Rb 0.000 0.000 0.000
V1 V 0.000 0.000 0.500
Sn1 Sn 0.499 0.519 0.264
Sn2 Sn 0.501 0.481 0.736
F1 F 0.132 0.227 0.343
F2 F 0.241 0.147 0.702
F3 F 0.252 0.768 0.417
F4 F 0.308 0.631 0.050
F5 F 0.692 0.369 0.950
F6 F 0.748 0.232 0.583
F7 F 0.759 0.853 0.298
F8 F 0.868 0.773 0.657
# space group	P-1, No. 2
# DOS(E_F)	0.000	states/eV/cell
# magnetic moment	1.999	μB per cell
# calculated total energy	-5.193	eV/atom

---

2.
# Rb2VSnF6 (GGA+U, relaxed)
data_Rb2VSnF6
_symmetry_space_group_name_H-M 'P 1'
_symmetry_Int_Tables_number 1
_symmetry_space_group_name_Hall 'P 1'
_cell_length_a 6.368
_cell_length_b 6.368
_cell_length_c 6.368
_cell_angle_alpha 60.00
_cell_angle_beta 60.00
_cell_angle_gamma 60.00
loop_
_atom_site_label
_atom_site_type_symbol
_atom_site_fract_x
_atom_site_fract_y
_atom_site_fract_z
Rb1 Rb 0.250 0.250 0.250
Rb2 Rb 0.750 0.750 0.750
V1 V 0.000 0.000 0.000
Sn1 Sn 0.500 0.500 0.500
F1 F 0.236 0.236 0.764
F2 F 0.236 0.764 0.236
F3 F 0.236 0.764 0.764
F4 F 0.764 0.236 0.236
F5 F 0.764 0.236 0.764
F6 F 0.764 0.764 0.236
# space group	Fm-3m, No. 225
# DOS(E_F)	0.000	states/eV/cell
# magnetic moment	3.000	μB per cell
# calculated total energy	-5.066	eV/atom